A plane-wave DFT calculation with PBE was carried out for LiBeAu3 after structural relaxation.

abc: 4.4764 4.4764 4.4764
angles: 90.00 90.00 90.00
Last column: nearest neighbours and their distance in Å.
Atoms (fractional coordinates):
1 Li 0.0000 0.0000 0.0000  12 Au 3.17
2 Be 0.5000 0.5000 0.5000  6 Au 2.24
3 Au 0.0000 0.5000 0.5000  2 Be 2.24
4 Au 0.5000 0.0000 0.5000  2 Be 2.24
5 Au 0.5000 0.5000 0.0000  2 Be 2.24

space group: Pm-3m (221)
distance to the lowest polymorph of the same formula: 168 meV per atom
calculated total energy: -16.1 eV for the cell shown
N(E_F): 1.3 states/eV/cell


A plane-wave DFT calculation with PBE was carried out for LiBeAu4 after structural relaxation.

abc: 5.4651 5.4651 5.4651
angles: 60.00 60.00 60.00
Last column: nearest neighbours and their distance in Å.
Atoms (fractional coordinates):
1 Li 0.0000 0.0000 0.0000  12 Au 3.20, 4 Be 3.35
2 Be 0.7500 0.7500 0.7500  12 Au 3.20, 4 Li 3.35
3 Au 0.3751 0.3751 0.3751  6 Au 2.73
4 Au 0.3751 0.3751 0.8747  6 Au 2.73
5 Au 0.3751 0.8747 0.3751  6 Au 2.73
6 Au 0.8747 0.3751 0.3751  6 Au 2.73

space group: F-43m (216)
distance to the lowest polymorph of the same formula: 403 meV per atom
calculated total energy: -17.8 eV for the cell shown
N(E_F): 2.5 states/eV/cell


A plane-wave DFT calculation with PBE was carried out for LiBeAu5 after structural relaxation.

abc: 4.0542 4.0542 7.0192
angles: 90.00 90.00 90.00
Last column: nearest neighbours and their distance in Å.
Atoms (fractional coordinates):
1 Li 0.0000 0.0000 0.0000  12 Au 2.87-2.90
2 Be 0.5000 0.5000 0.5000  8 Au 2.48
3 Au 0.0000 0.5000 0.2952  2 Be 2.48
4 Au 0.0000 0.5000 0.7048  2 Be 2.48
5 Au 0.5000 0.0000 0.2952  2 Be 2.48
6 Au 0.5000 0.0000 0.7048  2 Be 2.48
7 Au 0.5000 0.5000 0.0000  4 Li 2.87, 8 Au 2.90

space group: P4/mmm (123)
calculated total energy: -23.8 eV for the cell shown
N(E_F): 2.1 states/eV/cell


E_form (eV/atom)
-0.132 0.152 -0.256